Material: Hg3RuN
Method: DFT, PBE-GGA
State: optimized geometry

abc: 5.2389 5.2389 5.2389
angles: 90.00 90.00 90.00
Closest atoms and distances in Å follow each position.
Sites, in units of the cell vectors:
Hg: 0.0000 0.0000 0.5000  2 Ru 2.62
Hg: 0.0000 0.5000 0.0000  2 Ru 2.62
Hg: 0.5000 0.0000 0.0000  2 Ru 2.62
Ru: 0.0000 0.0000 0.0000  6 Hg 2.62
N: 0.5000 0.5000 0.5000  12 Hg 3.70

Raw formation energy ... 1.8474 eV/atom
Relative energy among the computed polymorphs ... 2.35 eV per formula unit



Material: HgSCl2O
Method: DFT, PBE-GGA
State: optimized geometry

abc: 4.6920 4.6920 4.1815
angles: 90.00 90.00 90.00
Closest atoms and distances in Å follow each position.
Sites, in units of the cell vectors:
Hg: 0.0000 0.0000 0.0000  8 Cl 3.14, 4 S 3.32
S: 0.5000 0.5000 0.0000  2 O 2.09
Cl: 0.0000 0.5000 0.5000  2 O 2.35
Cl: 0.5000 0.0000 0.5000  2 O 2.35
O: 0.5000 0.5000 0.5000  2 S 2.09

Raw formation energy ... 0.5842 eV/atom
Relative energy among the computed polymorphs ... 0.00 eV per formula unit



Material: TlP2HCl
Method: DFT, PBE-GGA
State: optimized geometry

abc: 3.8818 3.8818 7.0389
angles: 90.00 90.00 90.00
Closest atoms and distances in Å follow each position.
Sites, in units of the cell vectors:
Tl: 0.0000 0.0000 0.0000  4 Cl 2.74
P: 0.0000 0.5000 0.5000  2 H 1.94
P: 0.5000 0.0000 0.5000  2 H 1.94
H: 0.5000 0.5000 0.5000  4 P 1.94
Cl: 0.5000 0.5000 0.0000  4 Tl 2.74

Relative energy among the computed polymorphs ... 0.00 eV per formula unit



Material: BeBr2F
Method: DFT, PBE-GGA
State: optimized geometry

abc: 6.3641 6.3641 6.3641
angles: 122.26 122.26 86.13
Closest atoms and distances in Å follow each position.
Sites, in units of the cell vectors:
Be: 0.0000 0.0000 0.0000  4 Br 2.20
Be: 0.7500 0.2500 0.5000  4 Br 2.20
Br: 0.0491 0.6250 0.9241  2 Be 2.20
Br: 0.3750 0.2991 0.4241  2 Be 2.20
Br: 0.7009 0.1250 0.0759  2 Be 2.20
Br: 0.8750 0.9509 0.5759  2 Be 2.20
F: 0.2500 0.7500 0.5000  4 Br 2.78
F: 0.5000 0.5000 0.0000  4 Br 2.78

Raw formation energy ... -0.6122 eV/atom
Relative energy among the computed polymorphs ... 0.00 eV per formula unit



Material: NaYMg2
Method: DFT, PBE-GGA
State: optimized geometry

abc: 3.6100 3.6100 8.6967
angles: 90.00 90.00 90.00
Closest atoms and distances in Å follow each position.
Sites, in units of the cell vectors:
Na: 0.0000 0.0000 0.0000  8 Mg 3.39, 4 Na 3.61
Y: 0.0000 0.0000 0.5000  8 Mg 3.32, 4 Y 3.61
Mg: 0.5000 0.5000 0.2563  4 Y 3.32, 4 Na 3.39, 4 Mg 3.61
Mg: 0.5000 0.5000 0.7437  4 Y 3.32, 4 Na 3.39, 4 Mg 3.61

Calculated formation energy ... 0.04 eV/atom
Relative energy among the computed polymorphs ... 0.00 eV per formula unit



Material: BeTcCl2
Method: DFT, PBE-GGA
State: optimized geometry

abc: 7.5023 7.5023 7.5023
angles: 155.94 153.10 36.40
Closest atoms and distances in Å follow each position.
Sites, in units of the cell vectors:
Be: 0.0000 0.0000 0.0000  4 Tc 2.34, 4 Cl 2.57
Tc: 0.5000 0.5000 0.0000  4 Be 2.34, 4 Cl 2.45
Cl: 0.3680 0.8680 0.5000  2 Tc 2.45, 2 Be 2.57
Cl: 0.6320 0.1320 0.5000  2 Tc 2.45, 2 Be 2.57

Raw formation energy ... -0.1189 eV/atom
Relative energy among the computed polymorphs ... 0.54 eV per formula unit



For each record above, in turn, the calculated VASP energy values are -9.3 -10.2 -16.0 -22.8 -10.8 -18.3 eV per cell.